No. 1
DFT (GGA-PBE) results for crystalline ZrBeZnO2 at its relaxed geometry.

Cell: 4.0128 4.0128 6.1188 Å, 90.00 90.00 90.00°
Positions (direct):
1 Zr 0.0000 0.0000 0.0000
2 Be 0.5000 0.5000 0.5000
3 Zn 0.0000 0.0000 0.5000
4 O 0.0000 0.5000 0.0000
5 O 0.5000 0.0000 0.0000

## Properties
E ... -5.474 eV per atom
Space group ... No. 123

No. 2
DFT (GGA-PBE) results for crystalline ZrBeO2 at its relaxed geometry.

Cell: 6.1307 6.1307 6.1307 Å, 28.59 28.59 28.59°
Positions (direct):
1 Zr 0.0000 0.0000 0.0000
2 Be 0.5000 0.5000 0.5000
3 O 0.4178 0.4178 0.4178
4 O 0.5822 0.5822 0.5822

## Properties
E ... -7.654 eV per atom
Space group ... No. 166

No. 3
DFT (GGA-PBE) results for crystalline ZrBe3O at its relaxed geometry.

Cell: 4.8190 4.8190 4.8190 Å, 90.00 90.00 90.00°
Positions (direct):
1 Zr 0.0000 0.0000 0.0000
2 Be 0.0000 0.0000 0.5000
3 Be 0.0000 0.5000 0.0000
4 Be 0.5000 0.0000 0.0000
5 O 0.5000 0.5000 0.5000

## Properties
Relative energy among the computed polymorphs ... 2268 meV/atom
E ... -2.693 eV per atom
Space group ... No. 221

No. 4
DFT (GGA-PBE) results for crystalline ZrBeO2 at its relaxed geometry.

Cell: 6.0999 6.0999 6.0999 Å, 28.06 28.06 28.06°
Positions (direct):
1 Zr 0.0000 0.0000 0.0000
2 Be 0.5000 0.5000 0.5000
3 O 0.1142 0.1142 0.1142
4 O 0.8858 0.8858 0.8858

## Properties
E ... -7.248 eV per atom
Space group ... No. 166

No. 5
DFT (GGA-PBE) results for crystalline ZrBe3O at its relaxed geometry.

Cell: 3.8488 3.8488 3.8488 Å, 90.00 90.00 90.00°
Positions (direct):
1 Zr 0.0000 0.0000 0.0000
2 Be 0.0000 0.5000 0.5000
3 Be 0.5000 0.0000 0.5000
4 Be 0.5000 0.5000 0.0000
5 O 0.5000 0.5000 0.5000

## Properties
Relative energy among the computed polymorphs ... 0 meV/atom
E ... -4.962 eV per atom
Space group ... No. 221

No. 6
DFT (GGA-PBE) results for crystalline Zr3BeO at its relaxed geometry.

Cell: 4.4025 4.4025 4.4025 Å, 90.00 90.00 90.00°
Positions (direct):
1 Zr 0.0000 0.0000 0.5000
2 Zr 0.0000 0.5000 0.0000
3 Zr 0.5000 0.0000 0.0000
4 Be 0.5000 0.5000 0.5000
5 O 0.0000 0.0000 0.0000

## Properties
Relative energy among the computed polymorphs ... 0 meV/atom
E ... -7.759 eV per atom
Space group ... No. 221

No. 7
DFT (GGA-PBE) results for crystalline ZrBeO2 at its relaxed geometry.

Cell: 5.2874 5.2874 5.2874 Å, 128.10 128.10 76.47°
Positions (direct):
1 Zr 0.0000 0.0000 0.0000
2 Zr 0.7500 0.2500 0.5000
3 Be 0.2500 0.7500 0.5000
4 Be 0.5000 0.5000 0.0000
5 O 0.2273 0.6250 0.1023
6 O 0.3750 0.4773 0.6023
7 O 0.5227 0.1250 0.8977
8 O 0.8750 0.7727 0.3977

## Properties
E ... -7.597 eV per atom
Space group ... No. 122

No. 8
DFT (GGA-PBE) results for crystalline BeOs3 at its relaxed geometry.

Cell: 2.7466 3.7859 5.1322 Å, 90.00 90.00 90.00°
Positions (direct):
1 Be 0.0000 0.0000 0.0000
2 Os 0.0000 0.0000 0.5000
3 Os 0.5000 0.5000 0.2376
4 Os 0.5000 0.5000 0.7624

## Properties
Relative energy among the computed polymorphs ... 176 meV/atom
E ... -9.186 eV per atom
Space group ... No. 47
Energy of formation from the pure elements ... 167 meV per atom

No. 9
DFT (GGA-PBE) results for crystalline Be2Os at its relaxed geometry.

Cell: 6.2359 6.2359 4.1417 Å, 90.00 90.00 154.93°
Positions (direct):
1 Be 0.0597 0.9403 0.7500
2 Be 0.3944 0.6056 0.7500
3 Be 0.6056 0.3944 0.2500
4 Be 0.9403 0.0597 0.2500
5 Os 0.2834 0.7166 0.2500
6 Os 0.7166 0.2834 0.7500

## Properties
Relative energy among the computed polymorphs ... 427 meV/atom
E ... -6.077 eV per atom
Space group ... No. 63
Energy of formation from the pure elements ... 151 meV per atom

No. 10
DFT (GGA-PBE) results for crystalline Be2Os at its relaxed geometry.

Cell: 6.7629 6.7629 2.4941 Å, 90.00 90.00 120.00°
Positions (direct):
1 Be 0.0000 0.3056 0.0000
2 Be 0.0000 0.6344 0.5000
3 Be 0.3056 0.0000 0.0000
4 Be 0.3656 0.3656 0.5000
5 Be 0.6344 0.0000 0.5000
6 Be 0.6944 0.6944 0.0000
7 Os 0.0000 0.0000 0.5000
8 Os 0.3333 0.6667 0.0000
9 Os 0.6667 0.3333 0.0000

## Properties
Relative energy among the computed polymorphs ... 346 meV/atom
E ... -6.158 eV per atom
Space group ... No. 189
Energy of formation from the pure elements ... 69 meV per atom

No. 11
DFT (GGA-PBE) results for crystalline BeOs3 at its relaxed geometry.

Cell: 5.4260 5.4260 4.2345 Å, 90.00 90.00 121.03°
Positions (direct):
1 Be 0.0791 0.9209 0.7500
2 Be 0.9209 0.0791 0.2500
3 Os 0.0717 0.3955 0.7500
4 Os 0.3955 0.0717 0.2500
5 Os 0.4197 0.5803 0.2500
6 Os 0.5803 0.4197 0.7500
7 Os 0.6045 0.9283 0.7500
8 Os 0.9283 0.6045 0.2500

## Properties
Relative energy among the computed polymorphs ... 141 meV/atom
E ... -9.221 eV per atom
Space group ... No. 63
Energy of formation from the pure elements ... 132 meV per atom

No. 12
DFT (GGA-PBE) results for crystalline Be2Os at its relaxed geometry.

Cell: 5.8910 6.1306 2.4375 Å, 90.00 90.00 90.00°
Positions (direct):
1 Be 0.2383 0.2380 0.0000
2 Be 0.2617 0.7380 0.5000
3 Be 0.7383 0.2620 0.5000
4 Be 0.7617 0.7620 0.0000
5 Os 0.0000 0.0000 0.5000
6 Os 0.5000 0.5000 0.0000

## Properties
Relative energy among the computed polymorphs ... 755 meV/atom
E ... -5.749 eV per atom
Space group ... No. 58
Energy of formation from the pure elements ... 478 meV per atom

No. 13
DFT (GGA-PBE) results for crystalline Be8Os at its relaxed geometry.

Cell: 5.2604 5.2604 5.2604 Å, 95.10 95.10 145.31°
Positions (direct):
1 Be 0.0000 0.3442 0.3442
2 Be 0.0000 0.6558 0.6558
3 Be 0.3256 0.3256 0.6512
4 Be 0.3256 0.6744 0.0000
5 Be 0.3442 0.0000 0.3442
6 Be 0.6558 0.0000 0.6558
7 Be 0.6744 0.3256 0.0000
8 Be 0.6744 0.6744 0.3488
9 Os 0.0000 0.0000 0.0000

## Properties
E ... -4.612 eV per atom
Space group ... No. 139
Energy of formation from the pure elements ... -53 meV per atom

No. 14
DFT (GGA-PBE) results for crystalline Be5Os4 at its relaxed geometry.

Cell: 6.9891 6.9891 4.7264 Å, 90.00 90.00 120.00°
Positions (direct):
1 Be 0.0000 0.3081 0.2500
2 Be 0.0000 0.6919 0.7500
3 Be 0.3081 0.0000 0.2500
4 Be 0.3081 0.3081 0.7500
5 Be 0.3333 0.6667 0.0000
6 Be 0.3333 0.6667 0.5000
7 Be 0.6667 0.3333 0.0000
8 Be 0.6667 0.3333 0.5000
9 Be 0.6919 0.0000 0.7500
10 Be 0.6919 0.6919 0.2500
11 Os 0.0000 0.0000 0.0000
12 Os 0.0000 0.0000 0.5000
13 Os 0.0000 0.3665 0.7500
14 Os 0.0000 0.6335 0.2500
15 Os 0.3665 0.0000 0.7500
16 Os 0.3665 0.3665 0.2500
17 Os 0.6335 0.0000 0.2500
18 Os 0.6335 0.6335 0.7500

## Properties
Relative energy among the computed polymorphs ... 110 meV/atom
E ... -6.969 eV per atom
Space group ... No. 193
Energy of formation from the pure elements ... 92 meV per atom

No. 15
DFT (GGA-PBE) results for crystalline Be2Os at its relaxed geometry.

Cell: 4.4997 4.4997 4.4997 Å, 118.08 118.08 93.36°
Positions (direct):
1 Be 0.1844 0.6844 0.8687
2 Be 0.3156 0.1844 0.5000
3 Be 0.6844 0.8156 0.5000
4 Be 0.8156 0.3156 0.1313
5 Os 0.2500 0.2500 0.0000
6 Os 0.7500 0.7500 0.0000

## Properties
Relative energy among the computed polymorphs ... 395 meV/atom
E ... -6.109 eV per atom
Space group ... No. 140
Energy of formation from the pure elements ... 119 meV per atom

No. 16
DFT (GGA-PBE) results for crystalline Be2Os3 at its relaxed geometry.

Cell: 3.8605 3.8605 4.8208 Å, 90.00 90.00 120.00°
Positions (direct):
1 Be 0.3333 0.6667 0.3537
2 Be 0.6667 0.3333 0.6463
3 Os 0.0000 0.0000 0.5000
4 Os 0.3333 0.6667 0.8612
5 Os 0.6667 0.3333 0.1388

## Properties
Relative energy among the computed polymorphs ... 221 meV/atom
E ... -7.865 eV per atom
Space group ... No. 164
Energy of formation from the pure elements ... 363 meV per atom

No. 17
DFT (GGA-PBE) results for crystalline BeOs5 at its relaxed geometry.

Cell: 2.7589 2.7589 10.4587 Å, 90.00 90.00 90.00°
Positions (direct):
1 Be 0.0000 0.0000 0.0000
2 Os 0.0000 0.0000 0.3139
3 Os 0.0000 0.0000 0.6861
4 Os 0.5000 0.5000 0.1383
5 Os 0.5000 0.5000 0.5000
6 Os 0.5000 0.5000 0.8617

## Properties
Relative energy among the computed polymorphs ... 0 meV/atom
E ... -9.949 eV per atom
Space group ... No. 123
Energy of formation from the pure elements ... 30 meV per atom

No. 18
DFT (GGA-PBE) results for crystalline BeOs5 at its relaxed geometry.

Cell: 4.6935 4.6935 4.3095 Å, 90.00 90.00 120.00°
Positions (direct):
1 Be 0.0000 0.0000 0.0000
2 Os 0.0000 0.6800 0.5000
3 Os 0.3200 0.3200 0.5000
4 Os 0.3333 0.6667 0.0000
5 Os 0.6667 0.3333 0.0000
6 Os 0.6800 0.0000 0.5000

## Properties
Relative energy among the computed polymorphs ... 120 meV/atom
E ... -9.828 eV per atom
Space group ... No. 189
Energy of formation from the pure elements ... 151 meV per atom

No. 19
DFT (GGA-PBE) results for crystalline BeOs3 at its relaxed geometry.

Cell: 8.4326 8.4326 8.4326 Å, 18.56 18.56 18.56°
Positions (direct):
1 Be 0.0000 0.0000 0.0000
2 Os 0.2550 0.2550 0.2550
3 Os 0.5000 0.5000 0.5000
4 Os 0.7450 0.7450 0.7450

## Properties
Relative energy among the computed polymorphs ... 170 meV/atom
E ... -9.192 eV per atom
Space group ... No. 166
Energy of formation from the pure elements ... 162 meV per atom

No. 20
DFT (GGA-PBE) results for crystalline BeOs5 at its relaxed geometry.

Cell: 5.1184 5.1184 6.2836 Å, 103.35 103.35 31.18°
Positions (direct):
1 Be 0.0000 0.0000 0.0000
2 Os 0.0454 0.0454 0.6068
3 Os 0.3232 0.3232 0.6526
4 Os 0.3798 0.3798 0.2618
5 Os 0.6592 0.6592 0.3195
6 Os 0.7168 0.7168 0.9254

## Properties
Relative energy among the computed polymorphs ... 85 meV/atom
E ... -9.863 eV per atom
Space group ... No. 8
Energy of formation from the pure elements ... 116 meV per atom

No. 21
DFT (GGA-PBE) results for crystalline BeOs3 at its relaxed geometry.

Cell: 5.3743 5.3743 8.5509 Å, 90.00 90.00 120.00°
Positions (direct):
1 Be 0.0000 0.0000 0.0000
2 Be 0.0000 0.0000 0.5000
3 Be 0.3333 0.6667 0.2500
4 Be 0.6667 0.3333 0.7500
5 Os 0.0000 0.5000 0.0000
6 Os 0.0000 0.5000 0.5000
7 Os 0.1593 0.3187 0.7500
8 Os 0.1593 0.8407 0.7500
9 Os 0.3187 0.1593 0.2500
10 Os 0.5000 0.0000 0.0000
11 Os 0.5000 0.0000 0.5000
12 Os 0.5000 0.5000 0.0000
13 Os 0.5000 0.5000 0.5000
14 Os 0.6813 0.8407 0.7500
15 Os 0.8407 0.1593 0.2500
16 Os 0.8407 0.6813 0.2500

## Properties
Relative energy among the computed polymorphs ... 334 meV/atom
E ... -9.028 eV per atom
Space group ... No. 194
Energy of formation from the pure elements ... 326 meV per atom

No. 22
DFT (GGA-PBE) results for crystalline BeOs8 at its relaxed geometry.

Cell: 6.0667 6.0667 6.0667 Å, 95.69 95.69 143.31°
Positions (direct):
1 Be 0.0000 0.0000 0.0000
2 Os 0.0000 0.3372 0.3372
3 Os 0.0000 0.6628 0.6628
4 Os 0.3307 0.3307 0.6614
5 Os 0.3307 0.6693 0.0000
6 Os 0.3372 0.0000 0.3372
7 Os 0.6628 0.0000 0.6628
8 Os 0.6693 0.3307 0.0000
9 Os 0.6693 0.6693 0.3386

## Properties
E ... -10.228 eV per atom
Space group ... No. 139
Energy of formation from the pure elements ... 168 meV per atom

No. 23
DFT (GGA-PBE) results for crystalline BeOs3 at its relaxed geometry.

Cell: 4.9364 4.9364 4.9364 Å, 146.87 128.11 62.96°
Positions (direct):
1 Be 0.0000 0.0000 0.0000
2 Os 0.2197 0.7197 0.5000
3 Os 0.5000 0.5000 0.0000
4 Os 0.7803 0.2803 0.5000

## Properties
Relative energy among the computed polymorphs ... 62 meV/atom
E ... -9.300 eV per atom
Space group ... No. 71
Energy of formation from the pure elements ... 54 meV per atom

No. 24
DFT (GGA-PBE) results for crystalline Be5Os at its relaxed geometry.

Cell: 4.2175 4.2175 3.3710 Å, 90.00 90.00 120.00°
Positions (direct):
1 Be 0.0000 0.5000 0.0000
2 Be 0.3333 0.6667 0.5000
3 Be 0.5000 0.0000 0.0000
4 Be 0.5000 0.5000 0.0000
5 Be 0.6667 0.3333 0.5000
6 Os 0.0000 0.0000 0.5000

## Properties
E ... -5.112 eV per atom
Space group ... No. 191
Energy of formation from the pure elements ... -136 meV per atom

No. 25
DFT (GGA-PBE) results for crystalline BeOs3 at its relaxed geometry.

Cell: 2.7846 2.7846 6.5329 Å, 90.00 90.00 90.00°
Positions (direct):
1 Be 0.0000 0.0000 0.0000
2 Os 0.0000 0.0000 0.5000
3 Os 0.5000 0.5000 0.2148
4 Os 0.5000 0.5000 0.7852

## Properties
Relative energy among the computed polymorphs ... 4 meV/atom
E ... -9.358 eV per atom
Space group ... No. 123
Energy of formation from the pure elements ... -4 meV per atom

No. 26
DFT (GGA-PBE) results for crystalline Be5Os3 at its relaxed geometry.

Cell: 4.6958 4.6958 3.8689 Å, 90.00 90.00 102.25°
Positions (direct):
1 Be 0.0000 0.0000 0.0000
2 Be 0.0000 0.5000 0.0000
3 Be 0.2863 0.2863 0.5000
4 Be 0.5000 0.0000 0.0000
5 Be 0.7137 0.7137 0.5000
6 Os 0.2174 0.7826 0.5000
7 Os 0.5000 0.5000 0.0000
8 Os 0.7826 0.2174 0.5000

## Properties
Relative energy among the computed polymorphs ... 76 meV/atom
E ... -6.612 eV per atom
Space group ... No. 65
Energy of formation from the pure elements ... -72 meV per atom